Entry 1:
Computed, not measured: CrFeNi2 at its PBEsol-relaxed geometry at the SCAN level of DFT.

Cell: 2.4268 3.9791 4.3593 Å, 90.00 90.00 90.00°
Atoms (fractional coordinates):
Cr (0.0000, 0.0000, 0.0000)
Fe (0.0000, 0.5000, 0.6866)
Ni (0.5000, 0.0000, 0.4996)
Ni (0.5000, 0.5000, 0.1871)

Values from the calculation:
The calculation puts the formation energy at 29 meV per atom. The calculation puts the uncorrected energy at -17.186 eV/atom. The volume is 10.52 Å³ per atom. The space group is Pmm2 (25).

Entry 2:
Computed, not measured: CrFe2Ni at its PBEsol-relaxed geometry at the SCAN level of DFT.

Cell: 2.3995 2.3995 7.6892 Å, 90.00 90.00 103.89°
Atoms (fractional coordinates):
Cr (0.0000, 0.0000, 0.0000)
Fe (0.0000, 0.0000, 0.4952)
Fe (0.5000, 0.5000, 0.7481)
Ni (0.5000, 0.5000, 0.2471)

Values from the calculation:
The calculation puts the formation energy at 35 meV per atom. The calculation puts the uncorrected energy at -17.669 eV/atom. The volume is 10.74 Å³ per atom. The space group is Cmm2 (35).

Entry 3:
Computed, not measured: CrFe2NiOs at its PBEsol-relaxed geometry at the SCAN level of DFT.

Cell: 4.3696 4.3696 4.4696 Å, 90.00 90.00 90.00°
Atoms (fractional coordinates):
Cr (0.0000, 0.0000, 0.0000)
Fe (0.0000, 0.5000, 0.5000)
Fe (0.5000, 0.0000, 0.5000)
Ni (0.5000, 0.5000, 0.0000)
Os (0.5000, 0.5000, 0.5000)

Values from the calculation:
The calculation puts the formation energy at 1456 meV per atom. The calculation puts the uncorrected energy at -27.083 eV/atom. The volume is 17.07 Å³ per atom. The space group is P4/mmm (123).

Entry 4:
Computed, not measured: CrFe3O at its PBEsol-relaxed geometry at the SCAN level of DFT.

Cell: 4.1347 4.1347 4.1347 Å, 90.00 90.00 90.00°
Atoms (fractional coordinates):
Cr (0.0000, 0.0000, 0.0000)
Fe (0.0000, 0.0000, 0.5000)
Fe (0.0000, 0.5000, 0.0000)
Fe (0.5000, 0.0000, 0.0000)
O (0.5000, 0.5000, 0.5000)

Values from the calculation:
For the energy relative to the elements, uncorrected, the calculation gives 1.60 eV per atom. The calculation puts the uncorrected energy at -14.199 eV/atom. The volume is 14.14 Å³ per atom. The space group is Pm-3m (221).

Entry 5:
Computed, not measured: CrFeO3 at its PBEsol-relaxed geometry at the SCAN level of DFT.

Cell: 5.3279 5.3279 5.3279 Å, 54.11 54.11 54.11°
Atoms (fractional coordinates):
Cr (0.1529, 0.1529, 0.1529)
Cr (0.8471, 0.8471, 0.8471)
Fe (0.3476, 0.3476, 0.3476)
Fe (0.6524, 0.6524, 0.6524)
O (0.0578, 0.4381, 0.7593)
O (0.2407, 0.9422, 0.5619)
O (0.4381, 0.7593, 0.0578)
O (0.5619, 0.2407, 0.9422)
O (0.7593, 0.0578, 0.4381)
O (0.9422, 0.5619, 0.2407)

Values from the calculation:
For the energy relative to the elements, uncorrected, the calculation gives -1.97 eV per atom. The calculation puts the uncorrected energy at -13.016 eV/atom. The volume is 9.22 Å³ per atom. The space group is R-3 (148).

Entry 6:
Computed, not measured: Cr2Fe3Si3O12 at its PBEsol-relaxed geometry at the SCAN level of DFT.

Cell: 10.0497 10.0497 10.0497 Å, 109.47 109.47 109.47°
Atoms (fractional coordinates):
Cr (0.0000, 0.0000, 0.0000)
Cr (0.0000, 0.0000, 0.5000)
Cr (0.0000, 0.5000, 0.0000)
Cr (0.0000, 0.5000, 0.5000)
Cr (0.5000, 0.0000, 0.0000)
Cr (0.5000, 0.0000, 0.5000)
Cr (0.5000, 0.5000, 0.0000)
Cr (0.5000, 0.5000, 0.5000)
Fe (0.1250, 0.2500, 0.3750)
Fe (0.1250, 0.3750, 0.7500)
Fe (0.2500, 0.3750, 0.1250)
Fe (0.2500, 0.8750, 0.6250)
Fe (0.3750, 0.1250, 0.2500)
Fe (0.3750, 0.7500, 0.1250)
Fe (0.6250, 0.2500, 0.8750)
Fe (0.6250, 0.8750, 0.7500)
Fe (0.7500, 0.1250, 0.3750)
Fe (0.7500, 0.6250, 0.8750)
Fe (0.8750, 0.6250, 0.2500)
Fe (0.8750, 0.7500, 0.6250)
Si (0.1250, 0.7500, 0.8750)
Si (0.1250, 0.8750, 0.2500)
Si (0.2500, 0.1250, 0.8750)
Si (0.2500, 0.6250, 0.3750)
Si (0.3750, 0.2500, 0.6250)
Si (0.3750, 0.6250, 0.7500)
Si (0.6250, 0.3750, 0.2500)
Si (0.6250, 0.7500, 0.3750)
Si (0.7500, 0.3750, 0.6250)
Si (0.7500, 0.8750, 0.1250)
Si (0.8750, 0.1250, 0.7500)
Si (0.8750, 0.2500, 0.1250)
O (0.0209, 0.2109, 0.1217)
O (0.0209, 0.3100, 0.8992)
O (0.0892, 0.7109, 0.6900)
O (0.0892, 0.8783, 0.3992)
O (0.1008, 0.6217, 0.4108)
O (0.1008, 0.9791, 0.6900)
O (0.1217, 0.0209, 0.2109)
O (0.1217, 0.6008, 0.9108)
O (0.1900, 0.2109, 0.5892)
O (0.1900, 0.4791, 0.6008)
O (0.2109, 0.1217, 0.0209)
O (0.2109, 0.5892, 0.1900)
O (0.2891, 0.3100, 0.9108)
O (0.2891, 0.4791, 0.3783)
O (0.3100, 0.8992, 0.0209)
O (0.3100, 0.9108, 0.2891)
O (0.3783, 0.2891, 0.4791)
O (0.3783, 0.5892, 0.8992)
O (0.3992, 0.0892, 0.8783)
O (0.3992, 0.8100, 0.5209)
O (0.4108, 0.1008, 0.6217)
O (0.4108, 0.8100, 0.7891)
O (0.4791, 0.3783, 0.2891)
O (0.4791, 0.6008, 0.1900)
O (0.5209, 0.3992, 0.8100)
O (0.5209, 0.6217, 0.7109)
O (0.5892, 0.1900, 0.2109)
O (0.5892, 0.8992, 0.3783)
O (0.6008, 0.1900, 0.4791)
O (0.6008, 0.9108, 0.1217)
O (0.6217, 0.4108, 0.1008)
O (0.6217, 0.7109, 0.5209)
O (0.6900, 0.0892, 0.7109)
O (0.6900, 0.1008, 0.9791)
O (0.7109, 0.5209, 0.6217)
O (0.7109, 0.6900, 0.0892)
O (0.7891, 0.4108, 0.8100)
O (0.7891, 0.8783, 0.9791)
O (0.8100, 0.5209, 0.3992)
O (0.8100, 0.7891, 0.4108)
O (0.8783, 0.3992, 0.0892)
O (0.8783, 0.9791, 0.7891)
O (0.8992, 0.0209, 0.3100)
O (0.8992, 0.3783, 0.5892)
O (0.9108, 0.1217, 0.6008)
O (0.9108, 0.2891, 0.3100)
O (0.9791, 0.6900, 0.1008)
O (0.9791, 0.7891, 0.8783)

Values from the calculation:
For the energy relative to the elements, uncorrected, the calculation gives -2.37 eV per atom. The calculation puts the uncorrected energy at -12.170 eV/atom. The volume is 9.77 Å³ per atom. The space group is Ia-3d (230).

Entry 7:
Computed, not measured: Zn2Cr3FeO8 at its PBEsol-relaxed geometry at the SCAN level of DFT.

Cell: 5.7930 5.7930 5.7930 Å, 60.85 60.85 60.85°
Atoms (fractional coordinates):
Zn (0.1246, 0.1246, 0.1246)
Zn (0.8754, 0.8754, 0.8754)
Cr (0.0000, 0.5000, 0.5000)
Cr (0.5000, 0.0000, 0.5000)
Cr (0.5000, 0.5000, 0.0000)
Fe (0.5000, 0.5000, 0.5000)
O (0.2624, 0.2624, 0.2624)
O (0.2647, 0.2647, 0.7134)
O (0.2647, 0.7134, 0.2647)
O (0.2866, 0.7353, 0.7353)
O (0.7134, 0.2647, 0.2647)
O (0.7353, 0.2866, 0.7353)
O (0.7353, 0.7353, 0.2866)
O (0.7376, 0.7376, 0.7376)

Values from the calculation:
For the energy relative to the elements, uncorrected, the calculation gives -2.16 eV per atom. The calculation puts the uncorrected energy at -12.883 eV/atom. The volume is 10.01 Å³ per atom. The space group is R-3m (166).

Entry 8:
Computed, not measured: Zn2CrFe3O8 at its PBEsol-relaxed geometry at the SCAN level of DFT.

Cell: 5.7765 5.7765 5.7765 Å, 59.33 59.33 59.33°
Atoms (fractional coordinates):
Zn (0.1253, 0.1253, 0.1253)
Zn (0.8747, 0.8747, 0.8747)
Cr (0.5000, 0.5000, 0.5000)
Fe (0.0000, 0.5000, 0.5000)
Fe (0.5000, 0.0000, 0.5000)
Fe (0.5000, 0.5000, 0.0000)
O (0.2602, 0.2602, 0.7113)
O (0.2602, 0.7113, 0.2602)
O (0.2630, 0.2630, 0.2630)
O (0.2887, 0.7398, 0.7398)
O (0.7113, 0.2602, 0.2602)
O (0.7370, 0.7370, 0.7370)
O (0.7398, 0.2887, 0.7398)
O (0.7398, 0.7398, 0.2887)

Values from the calculation:
For the energy relative to the elements, uncorrected, the calculation gives -1.82 eV per atom. The calculation puts the uncorrected energy at -12.508 eV/atom. The volume is 9.59 Å³ per atom. The space group is R-3m (166).